Here is crystalline Ce2NdAs3Rh4 at its relaxed geometry from the Alexandria database. Energies are from PBE-GGA.

```
Ce2NdAs3Rh4
1.0
4.1464 0.0000 0.0000
0.0000 4.1464 0.0000
0.0000 0.0000 11.5744
As Rh Nd Ce
3 4 1 2
Direct
0.0000 0.5000 0.1243
0.5000 0.0000 0.8757
0.0000 0.0000 0.5000
0.0000 0.5000 0.3329
0.5000 0.5000 0.0000
0.0000 0.0000 0.0000
0.5000 0.0000 0.6671
0.5000 0.5000 0.5000
0.0000 0.5000 0.7769
0.5000 0.0000 0.2231
```

Calculated values
* calculated total energy: -6.894 eV per atom
* DOS at the Fermi energy: 14.0 states/eV/cell
* ΔE_f: -0.90 eV/atom